No. 1
DFT (PBE) results for crystalline HoUTc at its relaxed geometry.

For the distance to the lowest polymorph of the same formula, the calculation gives 244.1 meV/atom. As for the total magnetization: 2.36 μB per formula unit. The space-group type is P-6m2. Its formation energy is 0.246 eV/atom.

a b c (Å): 4.6900 4.6900 3.4100
angles (deg): 90.00 90.00 120.00
Element x y z (fractional)
Ho 0.0000 0.0000 0.0000
U 0.3333 0.6667 0.5000
Tc 0.6667 0.3333 0.5000

No. 2
DFT (PBE) results for crystalline V3AgIr at its relaxed geometry.

For the distance to the lowest polymorph of the same formula, the calculation gives 0.0 meV/atom. As for the total magnetization: 0.00 μB per formula unit. The space-group type is Pm-3m. Its formation energy is 0.978 eV/atom.

a b c (Å): 4.6097 4.6097 4.6097
angles (deg): 90.00 90.00 90.00
Element x y z (fractional)
V 0.0000 0.0000 0.5000
V 0.0000 0.5000 0.0000
V 0.5000 0.0000 0.0000
Ag 0.5000 0.5000 0.5000
Ir 0.0000 0.0000 0.0000

No. 3
DFT (PBE) results for crystalline BaLaRh at its relaxed geometry.

For the distance to the lowest polymorph of the same formula, the calculation gives 600.8 meV/atom. As for the total magnetization: 0.00 μB per formula unit. The space-group type is F-43m. Its formation energy is 0.192 eV/atom.

a b c (Å): 5.0312 5.0312 5.0312
angles (deg): 60.00 60.00 60.00
Element x y z (fractional)
Ba 0.0000 0.0000 0.0000
La 0.2500 0.2500 0.2500
Rh 0.5000 0.5000 0.5000